Density functional theory data (PBE) for NaAg2IrSe after structural relaxation.

Structure (extended XYZ):
```
5
Lattice="-2.6462 1.7962 -3.9370 -4.5204 -1.4306 2.3857 -0.2538 4.5424 2.2430" Properties=species:S:1:pos:R:3 pbc="T T T"
Ag -1.3231 0.8981 -1.9685
Ag -0.1269 2.2712 1.1215
Na -2.2602 -0.7153 1.1928
Se -3.7102 2.4540 0.3458
Ir 0.0000 0.0000 0.0000
```

* raw formation energy: 0.975 eV/atom